Record 1
Tb2Pr3Er7 | PBE-GGA | optimized geometry

The space group is P2/m (No. 10) and the conventional cell measures 5.8194, 3.5705 and 18.7977 Å, with angles of 90.00, 93.07 and 90.00 degrees. The asymmetric unit holds Tb at (0.2105, 0.0000, 0.2914), Pr at (0.0000, 0.0000, 0.0000), Pr at (0.2773, 0.5000, 0.6331), Er at (0.1911, 0.5000, 0.1433), Er at (0.2427, 0.0000, 0.4616), Er at (0.3067, 0.0000, 0.8262) and Er at (0.5000, 0.5000, 0.0000).

The calculation puts the energy of formation at 0.09 eV/atom. The value obtained for the calculated total energy is -54.49 eV per cell. The energy above the most stable polymorph in this dataset comes out at 0.000 eV per atom. The value obtained for the total magnetization is 0.00 μB/atom. As for the calculated volume: 32.50 Å³/atom.

Record 2
BSOF2 | PBE-GGA | optimized geometry

The space group is P4/mmm (No. 123) and the conventional cell measures 4.5094, 4.5094 and 2.5959 Å, with angles of 90.00, 90.00 and 90.00 degrees. The asymmetric unit holds B at (0.0000, 0.0000, 0.0000), S at (0.5000, 0.5000, 0.5000), O at (0.0000, 0.0000, 0.5000) and F at (0.0000, 0.5000, 0.0000).

The value obtained for the calculated total energy is -23.32 eV per cell. The energy above the most stable polymorph in this dataset comes out at 0.000 eV per atom. The value obtained for the total magnetization is 0.25 μB/atom. As for the calculated volume: 10.56 Å³/atom.

Record 3
SrCa2 | PBE-GGA | optimized geometry

The space group is Cm (No. 8) and the conventional cell measures 15.0628, 3.9968 and 9.5784 Å, with angles of 90.00, 105.80 and 90.00 degrees. The asymmetric unit holds Sr at (0.0000, 0.0000, 0.0000), Sr at (0.1708, 0.5000, 0.3438), Ca at (0.0551, 0.0000, 0.6183), Ca at (0.2267, 0.5000, 0.9449), Ca at (0.3351, 0.0000, 0.6712) and Ca at (0.3918, 0.0000, 0.2864).

The calculation puts the energy of formation at 0.02 eV/atom. The value obtained for the calculated total energy is -22.50 eV per cell. The energy above the most stable polymorph in this dataset comes out at 0.007 eV per atom. The value obtained for the total magnetization is 0.00 μB/atom. As for the calculated volume: 46.24 Å³/atom.

Record 4
AlGa2Re | PBE-GGA | optimized geometry

The space group is R-3m (No. 166, hexagonal axes) and the conventional cell measures 2.8234, 2.8234 and 29.2580 Å, with angles of 90.00, 90.00 and 120.00 degrees. The asymmetric unit holds Al at (0.0000, 0.0000, 0.0000), Ga at (0.0000, 0.0000, 0.0917) and Re at (0.0000, 0.0000, 0.5000).

The calculation puts the energy of formation at 0.13 eV/atom. The value obtained for the calculated total energy is -65.16 eV per cell. The value obtained for the total magnetization is 0.00 μB/atom. As for the calculated volume: 16.83 Å³/atom.

Record 5
CsCaN2O | PBE-GGA | optimized geometry

The space group is P4/mmm (No. 123) and the conventional cell measures 4.9992, 4.9992 and 4.5309 Å, with angles of 90.00, 90.00 and 90.00 degrees. The asymmetric unit holds Cs at (0.0000, 0.0000, 0.0000), Ca at (0.5000, 0.5000, 0.5000), N at (0.0000, 0.5000, 0.5000) and O at (0.5000, 0.5000, 0.0000).

The value obtained for the calculated total energy is -22.02 eV per cell. The value obtained for the total magnetization is 1.00 μB/atom. As for the calculated volume: 22.65 Å³/atom.

Record 6
LiCoAg2 | PBE-GGA | optimized geometry

The space group is F-43m (No. 216) and the conventional cell measures 6.2705, 6.2705 and 6.2705 Å, with angles of 90.00, 90.00 and 90.00 degrees. The asymmetric unit holds Li at (0.0000, 0.0000, 0.0000), Co at (0.2500, 0.2500, 0.7500), Ag at (0.0000, 0.0000, 0.5000) and Ag at (0.2500, 0.2500, 0.2500).

The calculation puts the energy of formation at 0.30 eV/atom. The value obtained for the calculated total energy is -54.16 eV per cell. The value obtained for the total magnetization is 0.37 μB/atom. As for the calculated volume: 15.41 Å³/atom.